Here is a geometry-optimized DyAgS2 structure from Alexandria via LeMat-Bulk. Energies are from PBE.

E_form (uncorrected), eV/atom: -1.173
SG: P3m1
Calculated volume, A^3/atom: 25.2

abc: 4.581 4.583 5.533
angles: 89.99 90.00 119.98
Fractional coordinates of all 4 atoms:
Dy (0.736, 0.496, 0.677)
Ag (0.402, 0.829, 0.082)
S (0.736, 0.495, 0.151)
S (0.403, 0.830, 0.608)